[1]
VASP calculation (PBE) on a relaxed structure of Er3BiPd.

Cell lengths 8.039, 8.039, 8.549 Å; angles 92.00, 92.00, 29.92 degrees
Atoms (fractional coordinates):
Er1 0.046 0.046 0.209
Er2 0.253 0.253 0.788
Er3 0.394 0.394 0.449
Er4 0.606 0.606 0.551
Er5 0.747 0.747 0.212
Er6 0.954 0.954 0.791
Bi1 0.390 0.390 0.072
Bi2 0.610 0.610 0.928
Pd1 0.200 0.200 0.421
Pd2 0.800 0.800 0.579

Results
M_tot	0.00	μB per atom
symmetry	C2/m (12)
E_form	-3.26	eV/f.u.
E_tot	-5.20	eV per atom



[2]
VASP calculation (PBE) on a relaxed structure of Pu3Zn2Pd4.

Cell lengths 4.693, 4.693, 8.919 Å; angles 90.00, 90.00, 120.00 degrees
Atoms (fractional coordinates):
Pu1 0.000 0.000 0.000
Pu2 0.333 0.667 0.555
Pu3 0.667 0.333 0.445
Zn1 0.333 0.667 0.206
Zn2 0.667 0.333 0.794
Pd1 0.000 0.000 0.326
Pd2 0.000 0.000 0.674
Pd3 0.333 0.667 0.881
Pd4 0.667 0.333 0.119

Results
M_tot	1.75	μB per atom
energy above the most stable polymorph in this dataset	58	meV/atom
symmetry	P-3m1 (164)
E_form	-3.41	eV/f.u.
E_tot	-7.75	eV per atom



[3]
VASP calculation (PBE) on a relaxed structure of HfS.

Cell lengths 3.190, 3.190, 3.190 Å; angles 90.00, 90.00, 90.00 degrees
Atoms (fractional coordinates):
Hf1 0.000 0.000 0.000
S1 0.500 0.500 0.500

Results
M_tot	0.00	μB per atom
symmetry	Pm-3m (221)
E_tot	-8.18	eV per atom



[4]
VASP calculation (PBE) on a relaxed structure of Pa9N14O2.

Cell lengths 6.665, 6.665, 9.387 Å; angles 90.00, 90.00, 120.00 degrees
Atoms (fractional coordinates):
Pa1 0.000 0.000 0.000
Pa2 0.021 0.329 0.341
Pa3 0.309 0.979 0.341
Pa4 0.329 0.309 0.659
Pa5 0.333 0.667 0.012
Pa6 0.667 0.333 0.988
Pa7 0.671 0.691 0.341
Pa8 0.691 0.021 0.659
Pa9 0.979 0.671 0.659
N1 0.000 0.000 0.254
N2 0.000 0.000 0.746
N3 0.026 0.669 0.905
N4 0.035 0.361 0.591
N5 0.326 0.965 0.591
N6 0.331 0.356 0.905
N7 0.356 0.026 0.095
N8 0.361 0.326 0.409
N9 0.639 0.674 0.591
N10 0.644 0.974 0.905
N11 0.669 0.644 0.095
N12 0.674 0.035 0.409
N13 0.965 0.639 0.409
N14 0.974 0.331 0.095
O1 0.333 0.667 0.258
O2 0.667 0.333 0.742

Results
M_tot	0.00	μB per atom
symmetry	P-3 (147)
E_tot	-10.40	eV per atom



[5]
VASP calculation (PBE) on a relaxed structure of As2WBr.

Cell lengths 3.899, 3.899, 5.143 Å; angles 90.00, 90.00, 90.00 degrees
Atoms (fractional coordinates):
As1 0.000 0.500 0.000
As2 0.500 0.000 0.000
W1 0.000 0.000 0.500
Br1 0.500 0.500 0.500

Results
M_tot	0.57	μB per atom
energy above the most stable polymorph in this dataset	997	meV/atom
symmetry	P4/mmm (123)
E_tot	-4.90	eV per atom



[6]
VASP calculation (PBE) on a relaxed structure of Ba2ZnSbP.

Cell lengths 7.861, 4.627, 10.031 Å; angles 90.00, 107.15, 90.00 degrees
Atoms (fractional coordinates):
Ba1 0.195 0.250 0.395
Ba2 0.230 0.250 0.967
Ba3 0.770 0.750 0.033
Ba4 0.805 0.750 0.605
Zn1 0.482 0.750 0.260
Zn2 0.518 0.250 0.740
Sb1 0.324 0.750 0.697
Sb2 0.676 0.250 0.303
P1 0.177 0.750 0.174
P2 0.823 0.250 0.826

Results
M_tot	0.00	μB per atom
symmetry	P2_1/m (11)
E_tot	-3.82	eV per atom